Entry w
Entry from Alexandria: an optimized crystal structure of SrGa2Tc (PBE).

Geometry as POSCAR:
```
SrGa2Tc
1.0
-2.5793 2.5793 8.3530
2.5793 -2.5793 8.3530
2.5793 2.5793 -8.3530
Sr Ga Tc
2 4 2
Cartesian
2.5793 1.2897 2.0882
0.0000 1.2897 6.2647
0.0000 0.0000 0.0000
1.2897 1.2897 -4.1765
1.2897 -1.2897 4.1765
0.0000 2.5793 0.0000
2.5793 -1.2897 6.2647
0.0000 3.8690 2.0882
```

=====

Entry x
Entry from Alexandria: an optimized crystal structure of SrGa2Tc (PBE).

Geometry as POSCAR:
```
SrGa2Tc
1.0
0.0000 3.4080 3.4080
3.4080 0.0000 3.4080
3.4080 3.4080 0.0000
Sr Ga Tc
1 2 1
Cartesian
0.0000 0.0000 0.0000
1.7040 1.7040 1.7040
5.1120 5.1120 5.1120
3.4080 3.4080 3.4080
```

=====

Most stable of them? entry w.

=====

Entry w
Entry from Alexandria: an optimized crystal structure of SrGa3Te (PBE).

Geometry as POSCAR:
```
SrGa3Te
1.0
5.5978 0.0000 0.0000
0.0000 5.5978 0.0000
0.0000 0.0000 5.5978
Sr Ga Te
1 3 1
Cartesian
0.0000 0.0000 0.0000
0.0000 2.7989 2.7989
2.7989 0.0000 2.7989
2.7989 2.7989 0.0000
2.7989 2.7989 2.7989
```

=====

Entry x
Entry from Alexandria: an optimized crystal structure of SrGa3Te (PBE).

Geometry as POSCAR:
```
SrGa3Te
1.0
5.8297 0.0000 0.0000
0.0000 5.8297 0.0000
0.0000 0.0000 5.8297
Sr Ga Te
1 3 1
Cartesian
0.0000 0.0000 0.0000
0.0000 0.0000 2.9149
0.0000 2.9149 0.0000
2.9149 0.0000 0.0000
2.9149 2.9149 2.9149
```

=====

Most stable of them? entry w.

=====

Entry w
Entry from Alexandria: an optimized crystal structure of Sr2GaTe (PBE).

Geometry as POSCAR:
```
Sr2GaTe
1.0
-4.3377 4.3377 3.9805
4.3377 -4.3377 3.9805
4.3377 4.3377 -3.9805
Sr Ga Te
4 2 2
Cartesian
6.5066 2.1580 -0.9951
2.1580 2.1689 0.9951
-2.1689 2.1797 2.9854
2.1797 2.1689 4.9757
0.0000 0.0000 0.0000
0.0000 4.3377 1.9903
4.3377 0.0000 1.9903
0.0000 0.0000 3.9805
```

=====

Entry x
Entry from Alexandria: an optimized crystal structure of Sr2GaTe (PBE).

Geometry as POSCAR:
```
Sr2GaTe
1.0
0.0000 4.0177 4.0177
4.0177 0.0000 4.0177
4.0177 4.0177 0.0000
Sr Ga Te
2 1 1
Cartesian
2.0088 2.0088 2.0088
6.0265 6.0265 6.0265
0.0000 0.0000 0.0000
4.0177 4.0177 4.0177
```

=====

Most stable of them? entry x.

=====

Entry w
Entry from Alexandria: an optimized crystal structure of SrTiGa3 (PBE).

Geometry as POSCAR:
```
SrTiGa3
1.0
5.4317 0.0000 0.0000
0.0000 5.4317 0.0000
0.0000 0.0000 5.4317
Sr Ti Ga
1 1 3
Cartesian
0.0000 0.0000 0.0000
2.7158 2.7158 2.7158
0.0000 0.0000 2.7158
0.0000 2.7158 0.0000
2.7158 0.0000 0.0000
```

=====

Entry x
Entry from Alexandria: an optimized crystal structure of SrTiGa3 (PBE).

Geometry as POSCAR:
```
SrTiGa3
1.0
5.0161 0.0000 0.0000
0.0000 5.0161 0.0000
0.0000 0.0000 5.0161
Sr Ti Ga
1 1 3
Cartesian
0.0000 0.0000 0.0000
2.5081 2.5081 2.5081
0.0000 2.5081 2.5081
2.5081 0.0000 2.5081
2.5081 2.5081 0.0000
```

=====

Most stable of them? entry x.

=====

Entry w
Entry from Alexandria: an optimized crystal structure of SrTi3Ga (PBE).

Geometry as POSCAR:
```
SrTi3Ga
1.0
4.9861 0.0000 0.0000
0.0000 4.9861 0.0000
0.0000 0.0000 4.9861
Sr Ti Ga
1 3 1
Cartesian
0.0000 0.0000 0.0000
0.0000 2.4931 2.4931
2.4931 0.0000 2.4931
2.4931 2.4931 0.0000
2.4931 2.4931 2.4931
```

=====

Entry x
Entry from Alexandria: an optimized crystal structure of SrTi3Ga (PBE).

Geometry as POSCAR:
```
SrTi3Ga
1.0
4.7591 0.0000 0.0000
0.0000 4.7591 0.0000
0.0000 0.0000 4.7591
Sr Ti Ga
1 3 1
Cartesian
0.0000 0.0000 0.0000
0.0000 0.0000 2.3796
0.0000 2.3796 0.0000
2.3796 0.0000 0.0000
2.3796 2.3796 2.3796
```

=====

Most stable of them? entry w.

=====

Entry w
Entry from Alexandria: an optimized crystal structure of SrTl2Ga (PBE).

Geometry as POSCAR:
```
SrTl2Ga
1.0
4.8337 0.0000 0.0000
0.0000 4.8337 0.0000
0.0000 0.0000 4.9046
Sr Tl Ga
1 2 1
Cartesian
0.0000 0.0000 0.0000
0.0000 2.4168 2.4523
2.4168 0.0000 2.4523
2.4168 2.4168 0.0000
```

=====

Entry x
Entry from Alexandria: an optimized crystal structure of SrTl2Ga (PBE).

Geometry as POSCAR:
```
SrTl2Ga
1.0
8.6050 0.0000 0.0000
0.0000 8.5314 0.0000
0.0000 0.0000 6.3957
Sr Tl Ga
4 8 4
Cartesian
0.2680 2.1329 0.7527
4.0345 6.3986 3.9505
4.5705 2.1329 2.4452
8.3371 6.3986 5.6430
1.6360 0.4195 3.9404
1.6360 3.8462 3.9404
2.6665 4.6852 0.7425
2.6665 8.1119 0.7425
5.9386 0.4195 5.6532
5.9386 3.8462 5.6532
6.9690 4.6852 2.4553
6.9690 8.1119 2.4553
0.7993 6.3986 2.4572
3.5032 2.1329 5.6551
5.1019 6.3986 0.7406
7.8057 2.1329 3.9385
```

=====

Most stable of them? entry x.